1.
Li4MnCo2O7 after structural relaxation. Source: Alexandria, functional GGA+U.

Cell lengths 14.5505, 14.5505, 5.8995 Å; angles 96.58, 96.58, 11.29 degrees
With the nearest neighbours (Å) after each atom.
Element x y z (fractional)
Li1 0.0000 0.0000 0.0000  6 O 2.05-2.13
Li2 0.0000 0.0000 0.5000  6 O 2.07-2.08
Li3 0.1427 0.1427 0.5671  6 O 2.04-2.19
Li4 0.2879 0.2879 0.1433  6 O 2.10-2.28
Li5 0.4328 0.4328 0.7081  6 O 2.09-2.20
Li6 0.5672 0.5672 0.2919  6 O 2.09-2.20
Li7 0.7121 0.7121 0.8567  6 O 2.10-2.28
Li8 0.8573 0.8573 0.4329  6 O 2.04-2.19
Mn1 0.4310 0.4310 0.2172  6 O 1.83-2.01
Mn2 0.5690 0.5690 0.7828  6 O 1.83-2.01
Co1 0.1414 0.1414 0.0710  6 O 1.94-1.95
Co2 0.2868 0.2868 0.6423  6 O 2.01-2.08
Co3 0.7132 0.7132 0.3577  6 O 2.01-2.08
Co4 0.8586 0.8586 0.9290  6 O 1.94-1.95
O1 0.0722 0.0722 0.5654  2 Mn 1.93, 4 Li 2.04-2.15
O2 0.0738 0.0738 0.0152  1 Co 1.95, 2 Mn 1.98, 1 Li 2.13
O3 0.2087 0.2087 0.1161  3 Co 1.94-2.01, 2 Li 2.11
O4 0.2146 0.2146 0.5980  3 Co 2.01-2.08, 3 Li 2.07-2.10
O5 0.3584 0.3584 0.7071  3 Co 1.94-2.07, 3 Li 2.15-2.16
O6 0.3613 0.3613 0.1549  2 Co 1.95, 1 Mn 2.01, 1 Li 2.12
O7 0.4947 0.4947 0.2447  1 Mn 1.83, 2 Li 2.05
O8 0.5053 0.5053 0.7553  1 Mn 1.83, 2 Li 2.05
O9 0.6387 0.6387 0.8451  2 Co 1.95, 1 Mn 2.01, 1 Li 2.12
O10 0.6416 0.6416 0.2929  3 Co 1.94-2.07, 3 Li 2.15-2.16
O11 0.7854 0.7854 0.4020  3 Co 2.01-2.08, 3 Li 2.07-2.10
O12 0.7913 0.7913 0.8839  3 Co 1.94-2.01, 2 Li 2.11
O13 0.9262 0.9262 0.9848  1 Co 1.95, 2 Mn 1.98, 1 Li 2.13
O14 0.9278 0.9278 0.4346  2 Mn 1.93, 4 Li 2.04-2.15

As for the spin magnetization: 6.494 μB per formula unit. As for the calculated volume: 243 Å³/cell. Its raw total energy is -5.84 eV/atom.


2.
Li4MnCo2O7 after structural relaxation. Source: Alexandria, functional GGA+U.

Cell lengths 2.9328, 8.1169, 10.7457 Å; angles 78.15, 82.46, 89.91 degrees
With the nearest neighbours (Å) after each atom.
Element x y z (fractional)
Li1 0.0000 0.0000 0.0000  6 O 2.09-2.14
Li2 0.0000 0.5000 0.0000  2 O 1.97
Li3 0.1193 0.0750 0.7278  4 O 1.96-2.16
Li4 0.3169 0.6408 0.4173  5 O 2.04-2.20
Li5 0.4403 0.2100 0.1266  5 O 2.05-2.24
Li6 0.5597 0.7900 0.8734  5 O 2.05-2.24
Li7 0.6831 0.3592 0.5827  5 O 2.04-2.20
Li8 0.8807 0.9250 0.2722  4 O 1.96-2.16
Mn1 0.3057 0.1472 0.4235  6 O 1.93-2.09
Mn2 0.6943 0.8528 0.5765  6 O 1.93-2.09
Co1 0.1180 0.5701 0.7157  6 O 1.89-1.99
Co2 0.4420 0.7288 0.1377  3 O 1.80-2.01
Co3 0.5580 0.2712 0.8623  3 O 1.80-2.01
Co4 0.8820 0.4299 0.2843  6 O 1.89-1.99
O1 0.0094 0.2602 0.9890  2 Co 1.96-2.01, 4 Li 1.97-2.09
O2 0.1107 0.8165 0.7046  2 Mn 1.94-2.03, 1 Co 1.98, 1 Li 2.16
O3 0.1125 0.3362 0.7197  2 Co 1.89-2.07, 3 Li 2.04-2.10
O4 0.2879 0.8971 0.4425  3 Mn 1.97-2.09, 1 Li 2.15
O5 0.3196 0.3872 0.4132  1 Mn 1.93, 2 Co 1.99, 1 Li 2.07
O6 0.4383 0.9475 0.1474  1 Co 1.80, 2 Li 1.96-1.97
O7 0.4407 0.4664 0.1640  3 Co 1.93-2.09
O8 0.5593 0.5336 0.8360  3 Co 1.93-2.09
O9 0.5617 0.0525 0.8526  1 Co 1.80, 2 Li 1.96-1.97
O10 0.6804 0.6128 0.5868  1 Mn 1.93, 2 Co 1.99, 1 Li 2.07
O11 0.7121 0.1029 0.5575  3 Mn 1.97-2.09, 1 Li 2.15
O12 0.8875 0.6638 0.2803  2 Co 1.89-2.07, 3 Li 2.04-2.10
O13 0.8893 0.1835 0.2954  2 Mn 1.94-2.03, 1 Co 1.98, 1 Li 2.16
O14 0.9906 0.7398 0.0110  2 Co 1.96-2.01, 4 Li 1.97-2.09

As for the spin magnetization: 7.000 μB per formula unit. As for the calculated volume: 248 Å³/cell. Its raw total energy is -5.81 eV/atom.


3.
Li4MnCo2O7 after structural relaxation. Source: Alexandria, functional GGA+U.

Cell lengths 10.2698, 10.2698, 5.1369 Å; angles 95.25, 95.25, 151.06 degrees
With the nearest neighbours (Å) after each atom.
Element x y z (fractional)
Li1 0.0000 0.0000 0.0000  6 O 2.02-2.20
Li2 0.0680 0.9320 0.5000  6 O 2.09-2.31
Li3 0.2120 0.7880 0.5000  6 O 2.06-2.28
Li4 0.3588 0.6412 0.5000  6 O 2.02-2.16
Li5 0.5009 0.4991 0.5000  6 O 2.05-2.17
Li6 0.6385 0.3615 0.5000  6 O 2.01-2.20
Li7 0.7879 0.2121 0.5000  6 O 2.07-2.16
Li8 0.9331 0.0669 0.5000  6 O 2.06-2.30
Mn1 0.4303 0.5697 0.0000  6 O 1.90-1.98
Mn2 0.7132 0.2868 0.0000  6 O 1.91-1.97
Co1 0.1391 0.8609 0.0000  4 O 1.85-1.99
Co2 0.2867 0.7133 0.0000  6 O 1.92-2.14
Co3 0.5718 0.4282 0.0000  6 O 1.95-1.96
Co4 0.8571 0.1429 0.0000  6 O 1.91-2.13
O1 0.0112 0.4430 0.2308  1 Mn 1.93, 2 Co 1.97-2.14, 3 Li 2.11-2.16
O2 0.1271 0.4141 0.7697  2 Co 1.92-2.13, 1 Mn 1.98, 2 Li 2.07-2.12
O3 0.1776 0.3291 0.2146  1 Co 1.91, 1 Mn 1.96, 2 Li 2.02-2.03
O4 0.2812 0.2823 0.7637  1 Mn 1.90, 1 Co 1.95, 3 Li 2.05-2.09
O5 0.3271 0.1764 0.2103  2 Co 1.85-1.95, 2 Li 2.01-2.02
O6 0.4202 0.1321 0.7634  1 Mn 1.91, 1 Co 1.96, 2 Li 2.06-2.07
O7 0.4584 0.0292 0.2075  2 Co 1.94-1.99, 1 Mn 1.97, 1 Li 2.16
O8 0.5570 0.9888 0.7692  1 Mn 1.93, 2 Co 1.97-2.14, 3 Li 2.11-2.16
O9 0.5859 0.8729 0.2303  2 Co 1.92-2.13, 1 Mn 1.98, 2 Li 2.07-2.12
O10 0.6709 0.8224 0.7854  1 Co 1.91, 1 Mn 1.96, 2 Li 2.02-2.03
O11 0.7177 0.7188 0.2363  1 Mn 1.90, 1 Co 1.95, 3 Li 2.05-2.09
O12 0.8236 0.6729 0.7897  2 Co 1.85-1.95, 2 Li 2.01-2.02
O13 0.8679 0.5798 0.2366  1 Mn 1.91, 1 Co 1.96, 2 Li 2.06-2.07
O14 0.9708 0.5416 0.7925  2 Co 1.94-1.99, 1 Mn 1.97, 1 Li 2.16

As for the spin magnetization: 2.962 μB per formula unit. As for the calculated volume: 244 Å³/cell. Its raw total energy is -5.84 eV/atom.


4.
Li5MnCo2O8 after structural relaxation. Source: Alexandria, functional GGA+U.

Cell lengths 5.0389, 2.8968, 9.6463 Å; angles 90.00, 101.50, 90.00 degrees
With the nearest neighbours (Å) after each atom.
Element x y z (fractional)
Li1 0.0000 0.0000 0.0000  6 O 2.08-2.19
Li2 0.0070 0.5000 0.4978  6 O 2.05-2.14
Li3 0.2381 0.5000 0.2568  6 O 1.99-2.23
Li4 0.4734 0.0000 0.4987  5 O 2.09-2.22
Li5 0.7499 0.5000 0.7526  6 O 1.99-2.21
Mn1 0.7513 0.0000 0.2555  6 O 1.83-2.02
Co1 0.2350 0.0000 0.7442  1 O 1.73
Co2 0.4875 0.5000 0.0013  6 O 1.91-1.95
O1 0.0940 0.0000 0.3634  1 Mn 1.83, 4 Li 1.99-2.05
O2 0.1404 0.5000 0.8778  3 Co 1.91-2.06, 3 Li 2.08-2.09
O3 0.3738 0.5000 0.6396  2 Co 1.97, 4 Li 1.99-2.11
O4 0.3943 0.0000 0.1169  2 Co 1.94, 1 Mn 2.02, 1 Li 2.08
O5 0.5788 0.0000 0.8843  3 Co 1.95-1.97
O6 0.6303 0.5000 0.3605  2 Mn 1.93, 2 Li 2.03-2.09
O7 0.8390 0.5000 0.1301  1 Co 1.95, 2 Mn 1.99, 3 Li 2.13-2.18
O8 0.9107 0.0000 0.6434  1 Co 1.73

As for the spin magnetization: 6.000 μB per formula unit. As for the calculated volume: 138 Å³/cell. Its raw total energy is -5.72 eV/atom.


5.
Li7Mn4CoO12 after structural relaxation. Source: Alexandria, functional GGA+U.

Cell lengths 5.1781, 8.5864, 5.1964 Å; angles 90.00, 112.08, 90.00 degrees
With the nearest neighbours (Å) after each atom.
Element x y z (fractional)
Li1 0.0000 0.0000 0.0000  6 O 2.09-2.14
Li2 0.0000 0.1599 0.5000  4 O 2.09-2.16
Li3 0.0000 0.3324 0.0000  6 O 2.05-2.13
Li4 0.0000 0.5000 0.5000  6 O 2.12-2.34
Li5 0.0000 0.6676 0.0000  6 O 2.05-2.13
Li6 0.0000 0.8401 0.5000  4 O 2.09-2.16
Li7 0.5000 0.0000 0.5000  6 O 2.04-2.22
Mn1 0.5000 0.1672 0.0000  6 O 1.95-1.96
Mn2 0.5000 0.3294 0.5000  4 O 1.93-1.99
Mn3 0.5000 0.6706 0.5000  4 O 1.93-1.99
Mn4 0.5000 0.8328 0.0000  6 O 1.95-1.96
Co1 0.5000 0.5000 0.0000  6 O 1.96-1.97
O1 0.2628 0.3331 0.7751  1 Mn 1.96, 1 Co 1.96, 3 Li 2.10-2.16
O2 0.2628 0.6669 0.7751  1 Mn 1.96, 1 Co 1.96, 3 Li 2.10-2.16
O3 0.2655 0.0000 0.7796  2 Mn 1.95, 3 Li 2.09
O4 0.2858 0.1733 0.2395  2 Mn 1.93-1.95, 3 Li 2.04-2.14
O5 0.2858 0.8267 0.2395  2 Mn 1.93-1.95, 3 Li 2.04-2.14
O6 0.2911 0.5000 0.2489  1 Co 1.97, 2 Mn 1.99, 2 Li 2.13
O7 0.7089 0.5000 0.7511  1 Co 1.97, 2 Mn 1.99, 2 Li 2.13
O8 0.7142 0.1733 0.7605  2 Mn 1.93-1.95, 3 Li 2.04-2.14
O9 0.7142 0.8267 0.7605  2 Mn 1.93-1.95, 3 Li 2.04-2.14
O10 0.7345 0.0000 0.2204  2 Mn 1.95, 3 Li 2.09
O11 0.7372 0.3331 0.2249  1 Mn 1.96, 1 Co 1.96, 3 Li 2.10-2.16
O12 0.7372 0.6669 0.2249  1 Mn 1.96, 1 Co 1.96, 3 Li 2.10-2.16

As for the spin magnetization: 14.000 μB per formula unit. As for the calculated volume: 214 Å³/cell. Its raw total energy is -6.22 eV/atom.


6.
Li4MnCo2O7 after structural relaxation. Source: Alexandria, functional GGA+U.

Cell lengths 5.1126, 7.6479, 7.6836 Å; angles 60.92, 71.31, 83.61 degrees
With the nearest neighbours (Å) after each atom.
Element x y z (fractional)
Li1 0.0000 0.0000 0.0000  6 O 2.06-2.19
Li2 0.0041 0.8608 0.7049  6 O 2.03-2.22
Li3 0.0080 0.2896 0.5722  6 O 2.07-2.25
Li4 0.0087 0.4331 0.8499  6 O 2.05-2.27
Li5 0.5000 0.5000 0.5000  6 O 2.06-2.14
Li6 0.9913 0.5669 0.1501  6 O 2.05-2.27
Li7 0.9920 0.7104 0.4278  6 O 2.07-2.25
Li8 0.9959 0.1392 0.2951  6 O 2.03-2.22
Mn1 0.4945 0.2172 0.9287  6 O 1.91-2.01
Mn2 0.5055 0.7828 0.0713  6 O 1.91-2.01
Co1 0.4922 0.3541 0.2178  6 O 1.93-2.16
Co2 0.4925 0.9126 0.3734  6 O 1.90-2.10
Co3 0.5075 0.0874 0.6266  6 O 1.90-2.10
Co4 0.5078 0.6459 0.7822  6 O 1.93-2.16
O1 0.2545 0.1036 0.4705  3 Co 1.99-2.08, 3 Li 2.03-2.08
O2 0.2662 0.2398 0.7655  1 Mn 1.91, 1 Co 2.02, 3 Li 2.06-2.14
O3 0.2698 0.3798 0.0415  1 Mn 1.93, 2 Co 1.96-2.16, 1 Li 2.12
O4 0.2754 0.6859 0.6101  2 Co 1.90-1.95, 3 Li 2.03-2.12
O5 0.2788 0.5475 0.2933  1 Mn 1.93, 1 Co 1.95, 3 Li 2.05-2.15
O6 0.2788 0.9635 0.1626  2 Mn 1.95-2.01, 1 Li 2.09, 1 Co 2.10
O7 0.2940 0.8217 0.8822  2 Co 1.93-2.10, 1 Mn 1.97
O8 0.7060 0.1783 0.1178  2 Co 1.93-2.10, 1 Mn 1.97
O9 0.7212 0.0365 0.8374  2 Mn 1.95-2.01, 1 Li 2.09, 1 Co 2.10
O10 0.7212 0.4525 0.7067  1 Mn 1.93, 1 Co 1.95, 3 Li 2.05-2.15
O11 0.7246 0.3141 0.3899  2 Co 1.90-1.95, 3 Li 2.03-2.12
O12 0.7302 0.6202 0.9585  1 Mn 1.93, 2 Co 1.96-2.16, 1 Li 2.12
O13 0.7338 0.7602 0.2345  1 Mn 1.91, 1 Co 2.02, 3 Li 2.06-2.14
O14 0.7455 0.8964 0.5295  3 Co 1.99-2.08, 3 Li 2.03-2.08

As for the spin magnetization: 8.999 μB per formula unit. As for the calculated volume: 248 Å³/cell. Its raw total energy is -5.83 eV/atom.